The following is a DFT calculation (PBE) of a geometry-optimized TePtAu structure.

```
data_TePtAu
_chemical_formula_sum 'Te2 Pt2 Au2'
_cell_length_a 3.683
_cell_length_b 3.683
_cell_length_c 8.968
_cell_angle_alpha 90.00
_cell_angle_beta 90.00
_cell_angle_gamma 90.00
_symmetry_space_group_name_H-M 'I 4 m m'
_symmetry_Int_Tables_number 107
_symmetry_space_group_name_Hall 'I 4 -2'
loop_
_atom_site_label
_atom_site_type_symbol
_atom_site_fract_x
_atom_site_fract_y
_atom_site_fract_z
Te1 Te 0.000 0.000 0.000
Pt1 Pt 0.000 0.000 0.617
Au1 Au 0.000 0.000 0.300
```

Output
Spin magnetization ... 0.000 μB per atom
Energy relative to the lowest polymorph listed for this composition ... 0.1517 eV/atom
Uncorrected formation energy ... 0.0815 eV/atom